[1]
Density functional theory data (GGA-PBEsol) for a relaxed structure of GaAuNF2.

Results
E, Ry/atom: -0.32859
Raw formation energy, eV/atom: -0.542

Cell lengths 3.733, 3.733, 4.196 Å; angles 90.00, 90.00, 90.00 degrees
Space group P4/mmm (No. 123)
Asymmetric unit:
Ga: 0.000 0.000 0.000 [1 per cell]
Au: 0.500 0.500 0.500 [1 per cell]
N: 0.000 0.000 0.500 [1 per cell]
F: 0.000 0.500 0.000 [2 per cell]

[2]
Density functional theory data (GGA-PBEsol) for a relaxed structure of GaAu2SF.

Results
E, Ry/atom: -0.25879
Raw formation energy, eV/atom: -0.021

Cell lengths 4.850, 4.850, 3.876 Å; angles 90.00, 90.00, 90.00 degrees
Space group P4/mmm (No. 123)
Asymmetric unit:
Ga: 0.000 0.000 0.000 [1 per cell]
Au: 0.000 0.500 0.000 [2 per cell]
S: 0.500 0.500 0.500 [1 per cell]
F: 0.000 0.000 0.500 [1 per cell]

[3]
Density functional theory data (GGA-PBEsol) for a relaxed structure of ScGa2AuF.

Results
E, Ry/atom: -0.29071
Raw formation energy, eV/atom: -0.128

Cell lengths 4.912, 4.912, 4.247 Å; angles 90.00, 90.00, 90.00 degrees
Space group P4/mmm (No. 123)
Asymmetric unit:
Sc: 0.000 0.000 0.000 [1 per cell]
Ga: 0.000 0.500 0.500 [2 per cell]
Au: 0.500 0.500 0.500 [1 per cell]
F: 0.500 0.500 0.000 [1 per cell]

[4]
Density functional theory data (GGA-PBEsol) for a relaxed structure of GeAu2F.

Results
E, Ry/atom: -0.28883
Raw formation energy, eV/atom: -0.251

Cell lengths 6.236, 6.236, 6.236 Å; angles 90.00, 90.00, 90.00 degrees
Space group Fm-3m (No. 225)
Asymmetric unit:
Ge: 0.000 0.000 0.000 [4 per cell]
Au: 0.250 0.250 0.250 [8 per cell]
F: 0.000 0.000 0.500 [4 per cell]

[5]
Density functional theory data (GGA-PBEsol) for a relaxed structure of GeAuNF2.

Results
E, Ry/atom: -0.29875
Raw formation energy, eV/atom: 0.184

Cell lengths 4.553, 4.553, 3.723 Å; angles 90.00, 90.00, 90.00 degrees
Space group P4/mmm (No. 123)
Asymmetric unit:
Ge: 0.000 0.000 0.000 [1 per cell]
Au: 0.500 0.500 0.500 [1 per cell]
N: 0.500 0.500 0.000 [1 per cell]
F: 0.000 0.500 0.500 [2 per cell]

[6]
Density functional theory data (GGA-PBEsol) for a relaxed structure of GeAuOF2.

Results
E, Ry/atom: -0.33109
Raw formation energy, eV/atom: -0.911

Cell lengths 4.141, 4.141, 3.726 Å; angles 90.00, 90.00, 90.00 degrees
Space group P4/mmm (No. 123)
Asymmetric unit:
Ge: 0.000 0.000 0.000 [1 per cell]
Au: 0.500 0.500 0.500 [1 per cell]
O: 0.000 0.000 0.500 [1 per cell]
F: 0.000 0.500 0.000 [2 per cell]

[7]
Density functional theory data (GGA-PBEsol) for a relaxed structure of Ge2TeAuF.

Results
E, Ry/atom: -0.25356
Raw formation energy, eV/atom: 0.401

Cell lengths 4.995, 4.995, 5.331 Å; angles 90.00, 90.00, 90.00 degrees
Space group P4/mmm (No. 123)
Asymmetric unit:
Ge: 0.000 0.500 0.000 [2 per cell]
Te: 0.000 0.000 0.500 [1 per cell]
Au: 0.000 0.000 0.000 [1 per cell]
F: 0.500 0.500 0.500 [1 per cell]

[8]
Density functional theory data (GGA-PBEsol) for a relaxed structure of ReHAu2F.

Results
E, Ry/atom: -0.27246

Cell lengths 4.720, 4.720, 3.848 Å; angles 90.00, 90.00, 90.00 degrees
Space group P4/mmm (No. 123)
Asymmetric unit:
Re: 0.000 0.000 0.000 [1 per cell]
H: 0.500 0.500 0.000 [1 per cell]
Au: 0.000 0.500 0.500 [2 per cell]
F: 0.000 0.000 0.500 [1 per cell]